Computed, not measured: crystalline NaCoN2 at its relaxed geometry at the PBE level of DFT.

Structure (POSCAR):
```
NaCoN2
1.0
1.801 0.000 6.613
-0.900 1.559 6.613
-0.900 -1.559 6.613
Na Co N
1 1 2
Cartesian
0.000 0.000 9.920 Na
0.000 0.000 0.000 Co
0.000 0.000 18.198 N
0.000 0.000 1.642 N
```

Values from the calculation:
- energy relative to the lowest polymorph listed for this composition (meV per atom) = 915
- final energy (eV/atom) = -5.1126
- symmetry = No. 166